{
  "formula": "Sm2TiGa2Rh5",
  "functional": "GGA-PBE",
  "state": "optimized geometry",
  "lattice": [[3.486, 0.000, 0.000], [0.000, 9.997, 0.000], [0.000, 0.000, 9.997]],
  "species": ["Rh", "Rh", "Rh", "Sm", "Rh", "Sm", "Ga", "Ti", "Rh", "Rh", "Sm", "Ga", "Rh", "Ga", "Sm", "Ti", "Rh", "Rh", "Rh", "Ga"],
  "fractional_positions": [[0.500, 0.299, 0.565], [0.500, 0.065, 0.799], [0.500, 0.435, 0.299], [0.000, 0.673, 0.173], [0.500, 0.500, 0.000], [0.000, 0.327, 0.827], [0.000, 0.126, 0.626], [0.000, 0.500, 0.500], [0.500, 0.701, 0.435], [0.500, 0.565, 0.701], [0.000, 0.173, 0.327], [0.000, 0.626, 0.874], [0.500, 0.799, 0.935], [0.000, 0.374, 0.126], [0.000, 0.827, 0.673], [0.000, 0.000, 0.000], [0.500, 0.201, 0.065], [0.500, 0.935, 0.201], [0.500, 0.000, 0.500], [0.000, 0.874, 0.374]],
  "dos_ef_per_ev_atom": 0.5664,
  "e_tot_ev_per_cell": -135.29,
  "ef_ev_per_atom": -0.750,
  "volume_a3_per_cell": 348.4
}